# HgH2Pd5

HgH2Pd5 after structural relaxation (PBE-GGA, Alexandria via LeMat-Bulk).

Cell lengths 2.8809, 5.6833, 13.2790 Å; angles 90.00, 90.00, 104.68 degrees
Fractional coordinates of all 16 atoms:
Hg 0.4520 0.9040 0.2500
Hg 0.5480 0.0960 0.7500
Pd 0.9288 0.8577 0.5948
Pd 0.3190 0.6381 0.4246
Pd 0.3190 0.6381 0.0754
Pd 0.0712 0.1423 0.4052
Pd 0.6810 0.3619 0.9246
Pd 0.9288 0.8577 0.9052
Pd 0.6810 0.3619 0.5754
Pd 0.2858 0.5715 0.7500
Pd 0.0712 0.1423 0.0948
Pd 0.7142 0.4285 0.2500
H 0.9150 0.8301 0.4549
H 0.9150 0.8301 0.0451
H 0.0850 0.1699 0.5451
H 0.0850 0.1699 0.9549

Computed properties:
The crystal system is orthorhombic. As for the total energy: -67.0 eV/cell.



# LaNd4SmEr2

LaNd4SmEr2 after structural relaxation (PBE-GGA, Alexandria via LeMat-Bulk).

Cell lengths 3.6543, 6.2798, 12.0676 Å; angles 79.86, 90.00, 90.00 degrees
Fractional coordinates of all 8 atoms:
Nd 0.5000 0.2486 0.7541
Nd 0.5000 0.7514 0.2459
Nd 0.0000 0.7517 0.7499
Nd 0.0000 0.2483 0.2501
Sm 0.5000 0.5000 0.0000
Er 0.5000 0.0000 0.5000
Er 0.0000 0.0000 0.0000
La 0.0000 0.5000 0.5000

Computed properties:
The crystal system is monoclinic. As for the total energy: -37.7 eV/cell.



Please write out number 1 again, unchanged.
# HgH2Pd5

HgH2Pd5 after structural relaxation (PBE-GGA, Alexandria via LeMat-Bulk).

Cell lengths 2.8809, 5.6833, 13.2790 Å; angles 90.00, 90.00, 104.68 degrees
Fractional coordinates of all 16 atoms:
Hg 0.4520 0.9040 0.2500
Hg 0.5480 0.0960 0.7500
Pd 0.9288 0.8577 0.5948
Pd 0.3190 0.6381 0.4246
Pd 0.3190 0.6381 0.0754
Pd 0.0712 0.1423 0.4052
Pd 0.6810 0.3619 0.9246
Pd 0.9288 0.8577 0.9052
Pd 0.6810 0.3619 0.5754
Pd 0.2858 0.5715 0.7500
Pd 0.0712 0.1423 0.0948
Pd 0.7142 0.4285 0.2500
H 0.9150 0.8301 0.4549
H 0.9150 0.8301 0.0451
H 0.0850 0.1699 0.5451
H 0.0850 0.1699 0.9549

Computed properties:
The crystal system is orthorhombic. As for the total energy: -67.0 eV/cell.